{"formula": "LiCoC4O4", "functional": "PBE with a Hubbard U", "state": "relaxed", "lattice": [[5.6322, 0.0000, 0.0000], [0.0000, 5.6322, 0.0000], [0.0000, 0.0000, 5.6322]], "species": ["Li", "Co", "C", "C", "C", "C", "O", "O", "O", "O"], "fractional_positions": [[0.0000, 0.0000, 0.0000], [0.5000, 0.5000, 0.5000], [0.3224, 0.3224, 0.3224], [0.3224, 0.6776, 0.6776], [0.6776, 0.3224, 0.6776], [0.6776, 0.6776, 0.3224], [0.2016, 0.2016, 0.2016], [0.2016, 0.7984, 0.7984], [0.7984, 0.2016, 0.7984], [0.7984, 0.7984, 0.2016]], "dft_energy_ev_per_atom": -7.0868, "total_magnetization_mub_per_cell": 0.16}